[1]
Entry from Alexandria: crystalline KAg2P at its relaxed geometry (PBE).

Results
M_tot = 0.00 μB per cell
energy relative to the elements = 25 kJ/mol of atoms

abc: 3.153 4.563 6.516
angles: 90.00 99.50 90.00
Space group P2/m (No. 10)
Symmetry-distinct sites (fractional):
K1 0.000 0.000 0.000 x1
Ag1 0.336 0.500 0.686 x2
P1 0.500 0.000 0.500 x1

---

[2]
Entry from Alexandria: crystalline In3W at its relaxed geometry (PBE).

Results
polymorph energy (0 for the lowest one) = 77 kJ/mol of formula units
M_tot = 1.78 μB per cell
energy relative to the elements = 65 kJ/mol of atoms

abc: 6.0497 6.0497 5.2751
angles: 90.00 90.00 120.00
Space group P6_3/mmc (No. 194)
Symmetry-distinct sites (fractional):
In1 0.1703 0.3406 0.2500 x6
W1 0.3333 0.6667 0.7500 x2

---

[3]
Entry from Alexandria: crystalline Tl2CoBr at its relaxed geometry (PBE).

Results
polymorph energy (0 for the lowest one) = 43 kJ/mol of formula units
M_tot = 1.33 μB per cell
E_form (uncorrected) = 0.25 eV per atom

abc: 3.445 3.447 8.206
angles: 90.00 90.49 90.00
Space group P2/m (No. 10)
Symmetry-distinct sites (fractional):
Tl1 0.004 0.000 0.193 x2
Co1 0.500 0.500 0.000 x1
Br1 0.000 0.500 0.500 x1

---

[4]
Entry from Alexandria: crystalline CdAg2Au4 at its relaxed geometry (PBE).

Results
polymorph energy (0 for the lowest one) = 0 kJ/mol of formula units
M_tot = 0.00 μB per cell
energy relative to the elements = -1 kJ/mol of atoms

abc: 6.996 6.996 5.556
angles: 90.00 90.00 90.00
Space group I4/mmm (No. 139)
Symmetry-distinct sites (fractional):
Cd1 0.000 0.000 0.000 x2
Ag1 0.000 0.500 0.250 x4
Au1 0.206 0.206 0.500 x8

---

[5]
Entry from Alexandria: crystalline ReTc2H2 at its relaxed geometry (PBE).

Results
polymorph energy (0 for the lowest one) = 0 kJ/mol of formula units
M_tot = 0.00 μB per cell

abc: 2.865 2.865 12.123
angles: 90.00 90.00 90.00
Space group I4/mmm (No. 139)
Symmetry-distinct sites (fractional):
Re1 0.000 0.000 0.000 x2
Tc1 0.000 0.000 0.351 x4
H1 0.000 0.500 0.250 x4

---

[6]
Entry from Alexandria: crystalline Ho3Mg4Cd at its relaxed geometry (PBE).

Results
M_tot = 0.28 μB per cell
energy relative to the elements = -7 kJ/mol of atoms

abc: 5.053 5.053 8.003
angles: 90.00 90.00 90.00
Space group P4/mmm (No. 123)
Symmetry-distinct sites (fractional):
Ho1 0.000 0.000 0.000 x1
Ho2 0.000 0.000 0.500 x1
Ho3 0.500 0.500 0.000 x1
Mg1 0.000 0.500 0.264 x4
Cd1 0.500 0.500 0.500 x1

---

[7]
Entry from Alexandria: crystalline Pr2Nd4C at its relaxed geometry (PBE).

Results
M_tot = 0.00 μB per cell
energy relative to the elements = -2 kJ/mol of atoms

abc: 3.7031 3.7031 56.3968
angles: 90.00 90.00 120.00
Space group R-3m (No. 166, hexagonal axes)
Symmetry-distinct sites (fractional):
Pr1 0.0000 0.0000 0.2453 x6
Nd1 0.0000 0.0000 0.1394 x6
Nd2 0.0000 0.0000 0.3586 x6
C1 0.0000 0.0000 0.0000 x3

---

[8]
Entry from Alexandria: crystalline Nb2TlVIr at its relaxed geometry (PBE).

Results
polymorph energy (0 for the lowest one) = 37 kJ/mol of formula units
M_tot = 0.19 μB per cell
energy relative to the elements = 230 kJ/mol of atoms

abc: 5.050 5.050 4.847
angles: 90.00 90.00 90.00
Space group P4/mmm (No. 123)
Symmetry-distinct sites (fractional):
Nb1 0.000 0.500 0.000 x2
Tl1 0.000 0.000 0.000 x1
V1 0.500 0.500 0.500 x1
Ir1 0.000 0.000 0.500 x1

---

[9]
Entry from Alexandria: crystalline TlCd2In2 at its relaxed geometry (PBE).

Results
polymorph energy (0 for the lowest one) = 0 kJ/mol of formula units
M_tot = 0.00 μB per cell
energy relative to the elements = 5 kJ/mol of atoms

abc: 8.722 8.722 3.568
angles: 90.00 90.00 90.00
Space group P4/mbm (No. 127)
Symmetry-distinct sites (fractional):
Tl1 0.000 0.000 0.000 x2
Cd1 0.127 0.373 0.000 x4
In1 0.170 0.670 0.500 x4

---

[10]
Entry from Alexandria: crystalline In2HgIr2 at its relaxed geometry (PBE).

Results
polymorph energy (0 for the lowest one) = 0 kJ/mol of formula units
M_tot = 0.00 μB per cell
energy relative to the elements = 2 kJ/mol of atoms

abc: 7.727 7.727 3.171
angles: 90.00 90.00 90.00
Space group P4/mbm (No. 127)
Symmetry-distinct sites (fractional):
In1 0.151 0.349 0.000 x4
Hg1 0.000 0.000 0.500 x2
Ir1 0.147 0.647 0.500 x4

---

[11]
Entry from Alexandria: crystalline FeRu2 at its relaxed geometry (PBE).

Results
M_tot = 8.10 μB per cell
energy relative to the elements = 15 kJ/mol of atoms

abc: 5.147 4.027 7.669
angles: 90.00 90.00 90.00
Space group Pnma (No. 62)
Symmetry-distinct sites (fractional):
Fe1 0.196 0.250 0.111 x4
Ru1 0.055 0.250 0.783 x4
Ru2 0.181 0.250 0.439 x4

---

[12]
Entry from Alexandria: crystalline HoCu4Ge2 at its relaxed geometry (PBE).

Results
polymorph energy (0 for the lowest one) = 13 kJ/mol of formula units
M_tot = 0.00 μB per cell
energy relative to the elements = -30 kJ/mol of atoms

abc: 4.1378 4.1378 22.1662
angles: 90.00 90.00 120.00
Space group R-3m (No. 166, hexagonal axes)
Symmetry-distinct sites (fractional):
Ho1 0.0000 0.0000 0.0000 x3
Cu1 0.0000 0.0000 0.1407 x6
Cu2 0.0000 0.0000 0.4362 x6
Ge1 0.0000 0.0000 0.2535 x6